! GGA-PBE TiSiO4, optimized geometry; values from VASP
&SYSTEM
  ibrav = 0, nat = 12, ntyp = 3
/
ATOMIC_SPECIES
Ti 47.87 Ti.upf
Si 28.09 Si.upf
O 16.00 O.upf
ATOMIC_POSITIONS crystal
Ti 0.0000 0.5000 0.1858
Ti 0.5000 0.5000 0.6858
Si 0.0000 0.0000 0.8453
Si 0.5000 0.0000 0.3453
O 0.2413 0.8437 0.1095
O 0.2052 0.3098 0.8750
O 0.2948 0.3098 0.3750
O 0.2587 0.8437 0.6095
O 0.7052 0.6902 0.3750
O 0.7413 0.1563 0.6095
O 0.7587 0.1563 0.1095
O 0.7948 0.6902 0.8750
CELL_PARAMETERS angstrom
4.4074 0.0000 0.0000
0.0000 4.7616 0.0000
0.0000 0.0000 5.2235
! - Electronic total energy: -8.26 eV per atom
! - Formation energy from raw total energies: -2740 meV per atom